First-principles (PBE with a Hubbard U) data for a geometry-optimized Ba2Y2MgFe4O10 structure, as listed in Alexandria.

Output
total moment: 2.000 μB/cell
raw total energy: -124.931 eV/f.u.

Cell lengths 3.8693, 7.8126, 8.6558 Å; angles 90.00, 90.00, 90.00 degrees
Closest atoms and distances in Å follow each position.
Fractional coordinates of all 19 atoms:
O 0.0000 0.2985 0.0000  2 Fe 1.97
O 0.5000 0.6775 0.7480  2 Fe 2.18-2.23
O 0.5000 0.0649 0.5000  2 Mg 1.94, 1 Fe 2.10
O 0.0000 0.8143 0.5000  2 Fe 1.99, 1 Mg 2.12
O 0.5000 0.6775 0.2520  2 Fe 2.18-2.23
O 0.0000 0.3620 0.5000  2 Fe 1.95, 1 Mg 2.16
O 0.5000 0.3094 0.7646  2 Fe 2.09-2.30, 2 Y 2.30
O 0.5000 0.9646 0.0000  2 Fe 2.13-2.24
O 0.0000 0.6507 0.0000  2 Fe 1.96
O 0.5000 0.3094 0.2354  2 Fe 2.09-2.30, 2 Y 2.30
Fe 0.5000 0.7548 0.5000  2 O 1.99
Fe 0.5000 0.3335 0.5000  3 O 1.95-2.10
Fe 0.5000 0.2508 0.0000  4 O 1.97-2.09
Fe 0.5000 0.6918 0.0000  5 O 1.96-2.18
Ba 0.0000 0.9350 0.2022  6 O 2.62-2.83, 1 Mg 2.83
Ba 0.0000 0.9350 0.7978  6 O 2.62-2.83, 1 Mg 2.83
Y 0.0000 0.4677 0.7812  7 O 2.30-2.57
Y 0.0000 0.4677 0.2188  7 O 2.30-2.57
Mg 0.0000 0.0851 0.5000  4 O 1.94-2.16